[1]
This record from the Alexandria database describes a geometry-optimized Sr2TlGa2 structure. The functional is PBE.

Results
Final energy = -2.530 eV/atom
Energy of formation = -16.68 kJ per mole of atoms

Cell lengths 9.1798, 9.1798, 3.8119 Å; angles 90.00, 90.00, 90.00 degrees
Closest atoms and distances in Å follow each position.
Fractional positions:
Sr: 0.1893 0.3107 0.0000  6 Ga 3.32-3.38, 2 Tl 3.34
Sr: 0.3107 0.8107 0.0000  6 Ga 3.32-3.38, 2 Tl 3.34
Sr: 0.6893 0.1893 0.0000  6 Ga 3.32-3.38, 2 Tl 3.34
Sr: 0.8107 0.6893 0.0000  6 Ga 3.32-3.38, 2 Tl 3.34
Tl: 0.0000 0.0000 0.0000  4 Sr 3.34
Tl: 0.5000 0.5000 0.0000  4 Sr 3.34
Ga: 0.1015 0.6015 0.5000  1 Ga 2.63
Ga: 0.3985 0.1015 0.5000  1 Ga 2.63
Ga: 0.6015 0.8985 0.5000  1 Ga 2.63
Ga: 0.8985 0.3985 0.5000  1 Ga 2.63

---

[2]
This record from the Alexandria database describes a geometry-optimized AlAsOF2 structure. The functional is PBE.

Results
Final energy = -5.098 eV/atom
Formation energy from raw total energies = -1.6794 eV/atom

Cell lengths 3.9907, 3.9907, 3.6302 Å; angles 90.00, 90.00, 90.00 degrees
Closest atoms and distances in Å follow each position.
Fractional positions:
Al: 0.0000 0.0000 0.0000  2 O 1.82, 4 F 2.00
As: 0.5000 0.5000 0.5000  8 F 2.70, 4 O 2.82
O: 0.0000 0.0000 0.5000  2 Al 1.82
F: 0.0000 0.5000 0.0000  2 Al 2.00
F: 0.5000 0.0000 0.0000  2 Al 2.00

---

[3]
This record from the Alexandria database describes a geometry-optimized TiH8N2F6 structure. The functional is PBE.

Results
Final energy = -5.375 eV/atom

Cell lengths 5.7706, 5.7706, 5.1932 Å; angles 90.00, 90.00, 120.00 degrees
Closest atoms and distances in Å follow each position.
Fractional positions:
Ti: 0.0000 0.0000 0.0000  6 F 1.90
H: 0.1388 0.5694 0.2590  1 N 1.03
H: 0.3333 0.6667 0.5233  1 N 1.03
H: 0.4306 0.5694 0.2590  1 N 1.03
H: 0.4306 0.8612 0.2590  1 N 1.03
H: 0.5694 0.1388 0.7410  1 N 1.03
H: 0.5694 0.4306 0.7410  1 N 1.03
H: 0.6667 0.3333 0.4767  1 N 1.03
H: 0.8612 0.4306 0.7410  1 N 1.03
N: 0.3333 0.6667 0.3249  4 H 1.03
N: 0.6667 0.3333 0.6751  4 H 1.03
F: 0.1567 0.3133 0.7936  1 Ti 1.90
F: 0.1567 0.8433 0.7936  1 Ti 1.90
F: 0.3133 0.1567 0.2064  1 Ti 1.90
F: 0.6867 0.8433 0.7936  1 Ti 1.90
F: 0.8433 0.1567 0.2064  1 Ti 1.90
F: 0.8433 0.6867 0.2064  1 Ti 1.90

---

Number 1: D(E_F) 7.71 states/eV/cell. Number 2: D(E_F) 2.35 states/eV/cell. Number 3: D(E_F) 0.00 states/eV/cell.